No. 1
# CaRe2Te PBE relaxed
data_CaRe2Te
_cell_length_a 3.019
_cell_length_b 5.026
_cell_length_c 5.407
_cell_angle_alpha 90.00
_cell_angle_beta 91.10
_cell_angle_gamma 90.00
_space_group_name_H-M_alt 'P 1 2/m 1'
_space_group_IT_number 10
loop_
_space_group_symop_operation_xyz
'x,y,z'
'-x,-y,-z'
'-x,y,-z'
'x,-y,z'
loop_
_atom_site_label
_atom_site_fract_x
_atom_site_fract_y
_atom_site_fract_z
Ca1 0.000 0.000 0.000
Re1 0.490 0.500 0.786
Te1 0.500 0.000 0.500
# - formation energy from raw total energies (meV/atom) = 623
# - E_tot (eV/atom) = -6.887


No. 2
# TaRh3Pb PBE relaxed
data_TaRh3Pb
_cell_length_a 4.825
_cell_length_b 4.825
_cell_length_c 4.825
_cell_angle_alpha 90.00
_cell_angle_beta 90.00
_cell_angle_gamma 90.00
_space_group_name_H-M_alt 'P m -3 m'
_space_group_IT_number 221
_space_group_name_Hall '-P 4 2 3'
loop_
_atom_site_label
_atom_site_fract_x
_atom_site_fract_y
_atom_site_fract_z
Ta1 0.000 0.000 0.000
Rh1 0.000 0.500 0.500
Pb1 0.500 0.500 0.500
# - energy above the lowest structure with this stoichiometry (meV per atom) = 1076
# - calculated formation energy (eV/f.u.) = 8.54
# - E_tot (eV/atom) = -5.815


No. 3
# Ho4Te5H PBE relaxed
data_Ho4Te5H
_cell_length_a 15.491
_cell_length_b 4.364
_cell_length_c 11.648
_cell_angle_alpha 90.00
_cell_angle_beta 108.14
_cell_angle_gamma 90.00
_space_group_name_H-M_alt 'C 1 2/m 1'
_space_group_IT_number 12
loop_
_space_group_symop_operation_xyz
'x,y,z'
'-x,-y,-z'
'-x,y,-z'
'x,-y,z'
'x+1/2,y+1/2,z'
'-x+1/2,-y+1/2,-z'
'-x+1/2,y+1/2,-z'
'x+1/2,-y+1/2,z'
loop_
_atom_site_label
_atom_site_fract_x
_atom_site_fract_y
_atom_site_fract_z
Ho1 0.009 0.000 0.330
Ho2 0.142 0.500 0.076
Te1 0.000 0.500 0.500
Te2 0.147 0.000 0.889
Te3 0.176 0.000 0.267
H1 0.000 0.500 0.000
# - E_tot (eV/atom) = -4.776


No. 4
# Ce3TmTh2 PBE relaxed
data_Ce3TmTh2
_cell_length_a 10.985
_cell_length_b 6.818
_cell_length_c 11.048
_cell_angle_alpha 90.00
_cell_angle_beta 119.10
_cell_angle_gamma 90.00
_space_group_name_H-M_alt 'C 1 2/c 1'
_space_group_IT_number 15
loop_
_space_group_symop_operation_xyz
'x,y,z'
'-x,-y,-z'
'-x,y,-z+1/2'
'x,-y,z+1/2'
'x+1/2,y+1/2,z'
'-x+1/2,-y+1/2,-z'
'-x+1/2,y+1/2,-z+1/2'
'x+1/2,-y+1/2,z+1/2'
loop_
_atom_site_label
_atom_site_fract_x
_atom_site_fract_y
_atom_site_fract_z
Ce1 0.000 0.243 0.250
Ce2 0.151 0.002 0.078
Tm1 0.000 0.269 0.750
Th1 0.171 0.492 0.085
# - calculated formation energy (eV/f.u.) = 0.84
# - E_tot (eV/atom) = -6.045